FeSiBr2 at its PBEsol-relaxed geometry. Source: Alexandria via LeMat-Bulk, functional meta-GGA SCAN.

Geometry as POSCAR:
```
FeSiBr2
1.0
3.895 -1.687 0.000
3.895 1.687 0.000
-2.329 0.000 6.874
Fe Si Br
1 1 2
direct
0.000 0.000 0.000
0.292 0.292 0.000
0.419 0.419 0.720
0.587 0.587 0.279
```

Values from the calculation:
Energy above the most stable polymorph in this dataset ... 0.000 eV/atom
Crystal system ... monoclinic
Total moment ... 1.82 μB per formula unit
Uncorrected formation energy ... -28 meV per atom

SrFeBr2 at its PBEsol-relaxed geometry. Source: Alexandria via LeMat-Bulk, functional meta-GGA SCAN.

Geometry as POSCAR:
```
SrFeBr2
1.0
-1.856 1.963 7.023
1.856 -1.963 7.023
1.856 1.963 -7.023
Sr Fe Br
1 1 2
direct
0.000 0.000 0.000
0.820 0.320 0.500
0.330 0.830 0.500
0.605 0.605 0.000
```

Values from the calculation:
Energy above the most stable polymorph in this dataset ... 0.000 eV/atom
Crystal system ... orthorhombic
Total moment ... 2.62 μB per formula unit
Uncorrected formation energy ... -714 meV per atom

SrFeBr2 at its PBEsol-relaxed geometry. Source: Alexandria via LeMat-Bulk, functional meta-GGA SCAN.

Geometry as POSCAR:
```
SrFeBr2
1.0
3.843 0.000 0.000
0.000 4.877 0.000
0.000 0.000 4.888
Sr Fe Br
1 1 2
direct
0.000 0.000 0.000
0.000 0.500 0.500
0.500 0.000 0.500
0.500 0.500 0.000
```

Values from the calculation:
Energy above the most stable polymorph in this dataset ... 0.000 eV/atom
Crystal system ... orthorhombic
Total moment ... 3.54 μB per formula unit
Uncorrected formation energy ... -714 meV per atom

SrFeBr2 at its PBEsol-relaxed geometry. Source: Alexandria via LeMat-Bulk, functional meta-GGA SCAN.

Geometry as POSCAR:
```
SrFeBr2
1.0
3.565 -4.464 0.000
3.565 4.464 0.000
-2.264 0.000 3.441
Sr Fe Br
1 1 2
direct
0.000 0.000 0.000
0.500 0.500 0.000
0.000 0.500 0.500
0.500 0.000 0.500
```

Values from the calculation:
Energy above the most stable polymorph in this dataset ... 0.102 eV/atom
Crystal system ... monoclinic
Total moment ... 3.53 μB per formula unit
Uncorrected formation energy ... -612 meV per atom

> What is the formula in the second record?

SrFeBr2

> What is the energy above the most stable polymorph in this dataset in the second record?

0.000 eV/atom